Run one
Material: PaSnC
Method: DFT, GGA-PBE
State: relaxed

Cell: 3.8861 3.8861 5.1561 Å, 90.00 90.00 120.00°
With the nearest neighbours (Å) after each atom.
Space group P3m1 (No. 156)
Symmetry-distinct sites (fractional):
Pa1 0.0000 0.0000 0.0000  3 C 2.24
Sn1 0.3333 0.6667 0.4998  6 C 3.40-3.44, 6 Pa 3.42
C1 0.6667 0.3333 0.0046  3 Pa 2.24

Calculated values
Magnetic moment: 0.0 μB per formula unit

***

Run two
Material: PaSnC
Method: DFT, GGA-PBE
State: relaxed

Cell: 4.0468 4.0468 8.0087 Å, 90.00 90.00 90.00°
With the nearest neighbours (Å) after each atom.
Space group P4/nmm (No. 129, origin choice 2)
Symmetry-distinct sites (fractional):
Pa1 0.2500 0.2500 0.1365  4 C 2.30
Sn1 0.2500 0.2500 0.5818  4 Sn 3.15
C1 0.2500 0.7500 0.0000  4 Pa 2.30

Calculated values
Magnetic moment: 0.0 μB per formula unit

***

Run three
Material: PaSnC
Method: DFT, GGA-PBE
State: relaxed

Cell: 4.9552 3.6380 6.5476 Å, 90.00 94.05 90.00°
With the nearest neighbours (Å) after each atom.
Space group P2_1/m (No. 11)
Symmetry-distinct sites (fractional):
Pa1 0.2353 0.2500 0.3408  4 C 2.44-2.52
Sn1 0.2797 0.2500 0.8371  2 C 2.44
C1 0.2576 0.7500 0.5886  4 Pa 2.44-2.52, 2 Sn 2.44

Calculated values
Magnetic moment: 0.0 μB per formula unit

***

Run four
Material: PaSnC
Method: DFT, GGA-PBE
State: relaxed

Cell: 3.2553 3.2553 12.0745 Å, 90.00 90.00 90.00°
With the nearest neighbours (Å) after each atom.
Space group I4mm (No. 107)
Symmetry-distinct sites (fractional):
Pa1 0.0000 0.0000 0.0000  4 C 2.37
Sn1 0.0000 0.0000 0.2740  4 Sn 3.26, 5 C 3.29-3.58, 5 Pa 3.31-3.57
C1 0.0000 0.0000 0.5468  4 Pa 2.37

Calculated values
Magnetic moment: 0.0 μB per formula unit

***

Most stable: run two. Least stable: run one.

***

Run one
Material: PaTc2C
Method: DFT, GGA-PBE
State: relaxed

Cell: 3.0934 10.1948 7.4896 Å, 90.00 90.00 90.00°
With the nearest neighbours (Å) after each atom.
Space group Cmcm (No. 63)
Symmetry-distinct sites (fractional):
Pa1 0.0000 0.0611 0.2500  3 C 2.74-2.83, 8 Tc 2.93-3.03
Tc1 0.0000 0.3481 0.0581  2 C 2.21
C1 0.0000 0.2167 0.7500  4 Tc 2.21

Calculated values
Magnetic moment: 0.0 μB per formula unit

***

Run two
Material: PaTc2C
Method: DFT, GGA-PBE
State: relaxed

Cell: 3.3263 3.3263 5.5567 Å, 90.00 90.00 90.00°
With the nearest neighbours (Å) after each atom.
Space group P4/mmm (No. 123)
Symmetry-distinct sites (fractional):
Pa1 0.0000 0.0000 0.0000  2 C 2.78, 8 Tc 2.80
Tc1 0.5000 0.5000 0.2744  1 Tc 2.51, 4 C 2.67, 4 Pa 2.80
C1 0.0000 0.0000 0.5000  8 Tc 2.67, 2 Pa 2.78

Calculated values
Magnetic moment: 0.0 μB per formula unit

***

Most stable: run one. Least stable: run two.

***

Run one
Material: PaTcC2
Method: DFT, GGA-PBE
State: relaxed

Cell: 2.9668 11.6992 5.6882 Å, 90.00 90.00 90.00°
With the nearest neighbours (Å) after each atom.
Space group Cmcm (No. 63)
Symmetry-distinct sites (fractional):
Pa1 0.0000 0.0476 0.2500  4 C 2.41
Tc1 0.0000 0.2120 0.7500  6 C 2.14-2.36
C1 0.0000 0.3622 0.0271  3 Tc 2.14-2.36

Calculated values
Magnetic moment: 0.0 μB per formula unit

***

Run two
Material: PaTcC2
Method: DFT, GGA-PBE
State: relaxed

Cell: 3.3666 3.3666 15.6602 Å, 90.00 90.00 120.00°
With the nearest neighbours (Å) after each atom.
Space group R-3m (No. 166, hexagonal axes)
Symmetry-distinct sites (fractional):
Pa1 0.0000 0.0000 0.0000  6 C 2.45
Tc1 0.0000 0.0000 0.5000  6 C 2.24
C1 0.0000 0.0000 0.2382  3 Tc 2.24, 3 Pa 2.45

Calculated values
Magnetic moment: 0.8 μB per formula unit

***

Most stable: run two. Least stable: run one.

***

Run one
Material: Pa3TeC
Method: DFT, GGA-PBE
State: relaxed

Cell: 10.8709 13.4818 6.0033 Å, 90.00 90.42 90.00°
With the nearest neighbours (Å) after each atom.
Space group C2/c (No. 15)
Symmetry-distinct sites (fractional):
Pa1 0.1217 0.1943 0.1015  2 C 2.48-2.49
Pa2 0.1318 0.3273 0.5702  1 C 2.44
Pa3 0.1359 0.0702 0.5906  3 C 2.44-2.54
Te1 0.1405 0.4268 0.0622  8 Pa 3.15-3.34
C1 0.0000 0.0542 0.2500  6 Pa 2.44-2.52
C2 0.0000 0.2054 0.7500  6 Pa 2.44-2.54

Calculated values
Magnetic moment: 0.0 μB per formula unit

***

Run two
Material: Pa3TeC
Method: DFT, GGA-PBE
State: relaxed

Cell: 4.7749 4.7749 4.7749 Å, 90.00 90.00 90.00°
With the nearest neighbours (Å) after each atom.
Space group Pm-3m (No. 221)
Symmetry-distinct sites (fractional):
Pa1 0.0000 0.0000 0.5000  2 C 2.39
Te1 0.5000 0.5000 0.5000  12 Pa 3.38
C1 0.0000 0.0000 0.0000  6 Pa 2.39

Calculated values
Magnetic moment: 0.0 μB per formula unit

***

Most stable: run one. Least stable: run two.